*i*
# NaPd2Pb2 PBEsol relaxed
# - space-group type = I4/mmm (139)
data_NaPd2Pb2
_chemical_formula_sum 'Na1 Pd2 Pb2'
_symmetry_space_group_name_H-M 'P 1'
_symmetry_Int_Tables_number 1
_symmetry_space_group_name_Hall 'P 1'
_cell_length_a 4.0196
_cell_length_b 4.0196
_cell_length_c 7.6082
_cell_angle_alpha 105.32
_cell_angle_beta 105.32
_cell_angle_gamma 90.00
loop_
_atom_site_label
_atom_site_fract_x
_atom_site_fract_y
_atom_site_fract_z
Pb1 0.6182 0.6182 0.2364
Pb2 0.3818 0.3818 0.7636
Na1 0.0000 0.0000 0.0000
Pd1 0.7500 0.2500 0.5000
Pd2 0.2500 0.7500 0.5000

=====

*ii*
# NaPd2Pb2 PBEsol relaxed
# - space-group type = P4/mbm (127)
data_NaPd2Pb2
_chemical_formula_sum 'Na2 Pd4 Pb4'
_symmetry_space_group_name_H-M 'P 1'
_symmetry_Int_Tables_number 1
_symmetry_space_group_name_Hall 'P 1'
_cell_length_a 3.2297
_cell_length_b 8.0924
_cell_length_c 8.0924
_cell_angle_alpha 90.00
_cell_angle_beta 90.00
_cell_angle_gamma 90.00
loop_
_atom_site_label
_atom_site_fract_x
_atom_site_fract_y
_atom_site_fract_z
Na1 0.0000 0.0000 0.0000
Na2 0.0000 0.5000 0.5000
Pb1 0.0000 0.3506 0.8506
Pb2 0.0000 0.1494 0.3506
Pb3 0.0000 0.6494 0.1494
Pb4 0.0000 0.8506 0.6494
Pd1 0.5000 0.3547 0.1453
Pd2 0.5000 0.6453 0.8547
Pd3 0.5000 0.1453 0.6453
Pd4 0.5000 0.8547 0.3547

=====

Most stable one: *ii*, least stable one: *i*.

=====

*i*
# NaRh2Pb2 PBEsol relaxed
# - space-group type = I4/mmm (139)
data_NaRh2Pb2
_chemical_formula_sum 'Na1 Rh2 Pb2'
_symmetry_space_group_name_H-M 'P 1'
_symmetry_Int_Tables_number 1
_symmetry_space_group_name_Hall 'P 1'
_cell_length_a 4.2251
_cell_length_b 4.2251
_cell_length_c 6.9236
_cell_angle_alpha 107.74
_cell_angle_beta 107.74
_cell_angle_gamma 90.03
loop_
_atom_site_label
_atom_site_fract_x
_atom_site_fract_y
_atom_site_fract_z
Rh1 0.7501 0.2499 0.5000
Rh2 0.2499 0.7501 0.5000
Na1 0.0000 0.0000 0.0000
Pb1 0.6229 0.6229 0.2459
Pb2 0.3771 0.3771 0.7541

=====

*ii*
# NaRh2Pb2 PBEsol relaxed
# - space-group type = P4/mbm (127)
data_NaRh2Pb2
_chemical_formula_sum 'Na2 Rh4 Pb4'
_symmetry_space_group_name_H-M 'P 1'
_symmetry_Int_Tables_number 1
_symmetry_space_group_name_Hall 'P 1'
_cell_length_a 3.1339
_cell_length_b 7.8692
_cell_length_c 7.8692
_cell_angle_alpha 90.00
_cell_angle_beta 90.00
_cell_angle_gamma 90.00
loop_
_atom_site_label
_atom_site_fract_x
_atom_site_fract_y
_atom_site_fract_z
Pb1 0.5000 0.6619 0.8381
Pb2 0.5000 0.8381 0.3381
Pb3 0.5000 0.1619 0.6619
Pb4 0.5000 0.3381 0.1619
Na1 0.0000 0.0000 0.0000
Na2 0.0000 0.5000 0.5000
Rh1 0.0000 0.1335 0.3665
Rh2 0.0000 0.8665 0.6335
Rh3 0.0000 0.3665 0.8665
Rh4 0.0000 0.6335 0.1335

=====

Most stable one: *ii*, least stable one: *i*.

=====

*i*
# NaPt5 PBEsol relaxed
# - space-group type = Amm2 (38)
data_NaPt5
_chemical_formula_sum 'Na1 Pt5'
_symmetry_space_group_name_H-M 'P 1'
_symmetry_Int_Tables_number 1
_symmetry_space_group_name_Hall 'P 1'
_cell_length_a 2.6960
_cell_length_b 4.6177
_cell_length_c 7.4631
_cell_angle_alpha 90.00
_cell_angle_beta 100.41
_cell_angle_gamma 90.00
loop_
_atom_site_label
_atom_site_fract_x
_atom_site_fract_y
_atom_site_fract_z
Pt1 0.3310 0.0000 0.6619
Pt2 0.2217 0.5000 0.4435
Pt3 0.8902 0.5000 0.7804
Pt4 0.6667 0.0000 0.3333
Pt5 0.5582 0.5000 0.1165
Na1 0.9988 0.0000 0.9977

=====

*ii*
# NaPt5 PBEsol relaxed
# - space-group type = P6/mmm (191)
data_NaPt5
_chemical_formula_sum 'Na1 Pt5'
_symmetry_space_group_name_H-M 'P 1'
_symmetry_Int_Tables_number 1
_symmetry_space_group_name_Hall 'P 1'
_cell_length_a 4.3462
_cell_length_b 5.2807
_cell_length_c 5.2807
_cell_angle_alpha 120.00
_cell_angle_beta 90.00
_cell_angle_gamma 90.00
loop_
_atom_site_label
_atom_site_fract_x
_atom_site_fract_y
_atom_site_fract_z
Pt1 0.0000 0.6667 0.3333
Pt2 0.5000 0.5000 0.5000
Pt3 0.5000 0.0000 0.5000
Pt4 0.0000 0.3333 0.6667
Pt5 0.5000 0.5000 0.0000
Na1 0.0000 0.0000 0.0000

=====

Most stable one: *ii*, least stable one: *i*.

=====

*i*
# Na3PtRh PBEsol relaxed
# - space-group type = Pm-3m (221)
data_Na3PtRh
_chemical_formula_sum 'Na3 Pt1 Rh1'
_symmetry_space_group_name_H-M 'P 1'
_symmetry_Int_Tables_number 1
_symmetry_space_group_name_Hall 'P 1'
_cell_length_a 4.9813
_cell_length_b 4.9813
_cell_length_c 4.9813
_cell_angle_alpha 90.00
_cell_angle_beta 90.00
_cell_angle_gamma 90.00
loop_
_atom_site_label
_atom_site_fract_x
_atom_site_fract_y
_atom_site_fract_z
Pt1 0.5000 0.5000 0.5000
Rh1 0.0000 0.0000 0.0000
Na1 0.0000 0.5000 0.0000
Na2 0.0000 0.0000 0.5000
Na3 0.5000 0.0000 0.0000

=====

*ii*
# Na3PtRh PBEsol relaxed
# - space-group type = Pm-3m (221)
data_Na3PtRh
_chemical_formula_sum 'Na3 Pt1 Rh1'
_symmetry_space_group_name_H-M 'P 1'
_symmetry_Int_Tables_number 1
_symmetry_space_group_name_Hall 'P 1'
_cell_length_a 5.2317
_cell_length_b 5.2317
_cell_length_c 5.2317
_cell_angle_alpha 90.00
_cell_angle_beta 90.00
_cell_angle_gamma 90.00
loop_
_atom_site_label
_atom_site_fract_x
_atom_site_fract_y
_atom_site_fract_z
Na1 0.5000 0.0000 0.0000
Na2 0.0000 0.0000 0.5000
Na3 0.0000 0.5000 0.0000
Rh1 0.5000 0.5000 0.5000
Pt1 0.0000 0.0000 0.0000

=====

Most stable one: *ii*, least stable one: *i*.

=====

*i*
# RbNa2Tl2 PBEsol relaxed
# - space-group type = P4/mbm (127)
data_RbNa2Tl2
_chemical_formula_sum 'Rb2 Na4 Tl4'
_symmetry_space_group_name_H-M 'P 1'
_symmetry_Int_Tables_number 1
_symmetry_space_group_name_Hall 'P 1'
_cell_length_a 3.5325
_cell_length_b 9.5803
_cell_length_c 9.5803
_cell_angle_alpha 90.00
_cell_angle_beta 90.00
_cell_angle_gamma 90.00
loop_
_atom_site_label
_atom_site_fract_x
_atom_site_fract_y
_atom_site_fract_z
Rb1 0.0000 0.5000 0.5000
Rb2 0.0000 0.0000 0.0000
Na1 0.5000 0.6739 0.8261
Na2 0.5000 0.8261 0.3261
Na3 0.5000 0.1739 0.6739
Na4 0.5000 0.3261 0.1739
Tl1 0.0000 0.1154 0.3846
Tl2 0.0000 0.8846 0.6154
Tl3 0.0000 0.3846 0.8846
Tl4 0.0000 0.6154 0.1154

=====

*ii*
# RbNa2Tl2 PBEsol relaxed
# - space-group type = I4/mmm (139)
data_RbNa2Tl2
_chemical_formula_sum 'Rb1 Na2 Tl2'
_symmetry_space_group_name_H-M 'P 1'
_symmetry_Int_Tables_number 1
_symmetry_space_group_name_Hall 'P 1'
_cell_length_a 5.1216
_cell_length_b 5.1216
_cell_length_c 7.8502
_cell_angle_alpha 109.04
_cell_angle_beta 109.04
_cell_angle_gamma 90.00
loop_
_atom_site_label
_atom_site_fract_x
_atom_site_fract_y
_atom_site_fract_z
Rb1 0.0000 0.0000 0.0000
Tl1 0.3936 0.3936 0.7871
Tl2 0.6064 0.6064 0.2129
Na1 0.2500 0.7500 0.5000
Na2 0.7500 0.2500 0.5000

=====

Most stable one: *i*, least stable one: *ii*.

=====

*i*
# NaReTe2 PBEsol relaxed
# - space-group type = R-3m (166)
data_NaReTe2
_chemical_formula_sum 'Na1 Re1 Te2'
_symmetry_space_group_name_H-M 'P 1'
_symmetry_Int_Tables_number 1
_symmetry_space_group_name_Hall 'P 1'
_cell_length_a 3.1106
_cell_length_b 3.1106
_cell_length_c 10.7650
_cell_angle_alpha 81.69
_cell_angle_beta 81.69
_cell_angle_gamma 60.00
loop_
_atom_site_label
_atom_site_fract_x
_atom_site_fract_y
_atom_site_fract_z
Re1 0.0000 0.0000 0.0000
Te1 0.0819 0.0819 0.7544
Te2 0.9181 0.9181 0.2456
Na1 0.5000 0.5000 0.5000

=====

*ii*
# NaReTe2 PBEsol relaxed
# - space-group type = Fm-3m (225)
data_NaReTe2
_chemical_formula_sum 'Na1 Re1 Te2'
_symmetry_space_group_name_H-M 'P 1'
_symmetry_Int_Tables_number 1
_symmetry_space_group_name_Hall 'P 1'
_cell_length_a 4.7934
_cell_length_b 4.7934
_cell_length_c 4.7934
_cell_angle_alpha 60.00
_cell_angle_beta 60.00
_cell_angle_gamma 60.00
loop_
_atom_site_label
_atom_site_fract_x
_atom_site_fract_y
_atom_site_fract_z
Te1 0.7500 0.7500 0.7500
Te2 0.2500 0.2500 0.2500
Re1 0.5000 0.5000 0.5000
Na1 0.0000 0.0000 0.0000

=====

Most stable one: *ii*, least stable one: *i*.

=====

*i*
# NaSn2Rh2 PBEsol relaxed
# - space-group type = P4/mbm (127)
data_NaSn2Rh2
_chemical_formula_sum 'Na2 Sn4 Rh4'
_symmetry_space_group_name_H-M 'P 1'
_symmetry_Int_Tables_number 1
_symmetry_space_group_name_Hall 'P 1'
_cell_length_a 2.9701
_cell_length_b 7.7865
_cell_length_c 7.7865
_cell_angle_alpha 90.00
_cell_angle_beta 90.00
_cell_angle_gamma 90.00
loop_
_atom_site_label
_atom_site_fract_x
_atom_site_fract_y
_atom_site_fract_z
Sn1 0.0000 0.6503 0.1503
Sn2 0.0000 0.3497 0.8497
Sn3 0.0000 0.1503 0.3497
Sn4 0.0000 0.8497 0.6503
Rh1 0.5000 0.1440 0.6440
Rh2 0.5000 0.6440 0.8560
Rh3 0.5000 0.8560 0.3560
Rh4 0.5000 0.3560 0.1440
Na1 0.0000 0.0000 0.0000
Na2 0.0000 0.5000 0.5000

=====

*ii*
# NaSn2Rh2 PBEsol relaxed
# - space-group type = I4/mmm (139)
data_NaSn2Rh2
_chemical_formula_sum 'Na1 Sn2 Rh2'
_symmetry_space_group_name_H-M 'P 1'
_symmetry_Int_Tables_number 1
_symmetry_space_group_name_Hall 'P 1'
_cell_length_a 4.2646
_cell_length_b 4.2646
_cell_length_c 6.5063
_cell_angle_alpha 109.13
_cell_angle_beta 109.13
_cell_angle_gamma 90.00
loop_
_atom_site_label
_atom_site_fract_x
_atom_site_fract_y
_atom_site_fract_z
Rh1 0.2500 0.7500 0.5000
Rh2 0.7500 0.2500 0.5000
Sn1 0.6255 0.6255 0.2509
Sn2 0.3745 0.3745 0.7491
Na1 0.0000 0.0000 0.0000

=====

Most stable one: *i*, least stable one: *ii*.

=====

*i*
# Na2Zn2S3 PBEsol relaxed
# - space-group type = P2_1/c (14)
data_Na2Zn2S3
_chemical_formula_sum 'Na4 Zn4 S6'
_symmetry_space_group_name_H-M 'P 1'
_symmetry_Int_Tables_number 1
_symmetry_space_group_name_Hall 'P 1'
_cell_length_a 6.8789
_cell_length_b 6.9079
_cell_length_c 7.0511
_cell_angle_alpha 90.00
_cell_angle_beta 90.00
_cell_angle_gamma 118.69
loop_
_atom_site_label
_atom_site_fract_x
_atom_site_fract_y
_atom_site_fract_z
S1 0.3637 0.2398 0.5972
S2 0.6363 0.7602 0.4028
S3 0.3637 0.7398 0.9028
S4 0.0000 0.0000 0.0000
S5 0.6363 0.2602 0.0972
S6 0.0000 0.5000 0.5000
Na1 0.1468 0.9043 0.3335
Na2 0.1468 0.4043 0.1665
Na3 0.8532 0.0957 0.6665
Na4 0.8532 0.5957 0.8335
Zn1 0.3433 0.0708 0.8835
Zn2 0.6567 0.4292 0.3835
Zn3 0.3433 0.5708 0.6165
Zn4 0.6567 0.9292 0.1165

=====

*ii*
# Na2Zn2S3 PBEsol relaxed
# - space-group type = C2/c (15)
data_Na2Zn2S3
_chemical_formula_sum 'Na8 Zn8 S12'
_symmetry_space_group_name_H-M 'P 1'
_symmetry_Int_Tables_number 1
_symmetry_space_group_name_Hall 'P 1'
_cell_length_a 6.6078
_cell_length_b 9.7612
_cell_length_c 9.7612
_cell_angle_alpha 83.53
_cell_angle_beta 70.49
_cell_angle_gamma 70.49
loop_
_atom_site_label
_atom_site_fract_x
_atom_site_fract_y
_atom_site_fract_z
Zn1 0.7399 0.9171 0.4518
Zn2 0.7601 0.5482 0.0829
Zn3 0.2006 0.7919 0.6389
Zn4 0.2994 0.3611 0.2081
Zn5 0.7994 0.2081 0.3611
Zn6 0.7006 0.6389 0.7919
Zn7 0.2399 0.4518 0.9171
Zn8 0.2601 0.0829 0.5482
Na1 0.7500 0.5691 0.4309
Na2 0.2500 0.4309 0.5691
Na3 0.7500 0.2825 0.7175
Na4 0.8728 0.1893 0.0178
Na5 0.1272 0.8107 0.9822
Na6 0.2500 0.7175 0.2825
Na7 0.3728 0.0178 0.1893
Na8 0.6272 0.9822 0.8107
S1 0.9448 0.4221 0.8530
S2 0.4448 0.8530 0.4221
S3 0.0588 0.0068 0.7680
S4 0.4412 0.2320 0.9932
S5 0.0737 0.2725 0.4203
S6 0.5552 0.1470 0.5779
S7 0.5588 0.7680 0.0068
S8 0.9263 0.7275 0.5797
S9 0.4263 0.5797 0.7275
S10 0.0552 0.5779 0.1470
S11 0.5737 0.4203 0.2725
S12 0.9412 0.9932 0.2320

=====

Most stable one: *ii*, least stable one: *i*.

=====

*i*
# Na2Zn3S4 PBEsol relaxed
# - space-group type = Ibam (72)
data_Na2Zn3S4
_chemical_formula_sum 'Na4 Zn6 S8'
_symmetry_space_group_name_H-M 'P 1'
_symmetry_Int_Tables_number 1
_symmetry_space_group_name_Hall 'P 1'
_cell_length_a 5.8034
_cell_length_b 8.5463
_cell_length_c 8.5463
_cell_angle_alpha 70.07
_cell_angle_beta 70.15
_cell_angle_gamma 70.15
loop_
_atom_site_label
_atom_site_fract_x
_atom_site_fract_y
_atom_site_fract_z
S1 0.6341 0.7697 0.5073
S2 0.1341 0.0073 0.2697
S3 0.3659 0.2303 0.4927
S4 0.5890 0.2697 0.0073
S5 0.8659 0.9927 0.7303
S6 0.9110 0.4927 0.2303
S7 0.4110 0.7303 0.9927
S8 0.0890 0.5073 0.7697
Na1 0.7527 0.3760 0.6240
Na2 0.7473 0.8760 0.1240
Na3 0.2473 0.6240 0.3760
Na4 0.2527 0.1240 0.8760
Zn1 0.2500 0.2500 0.2500
Zn2 0.2500 0.9645 0.5355
Zn3 0.2500 0.5355 0.9645
Zn4 0.7500 0.7500 0.7500
Zn5 0.7500 0.4645 0.0355
Zn6 0.7500 0.0355 0.4645

=====

*ii*
# Na2Zn3S4 PBEsol relaxed
# - space-group type = Pbca (61)
data_Na2Zn3S4
_chemical_formula_sum 'Na8 Zn12 S16'
_symmetry_space_group_name_H-M 'P 1'
_symmetry_Int_Tables_number 1
_symmetry_space_group_name_Hall 'P 1'
_cell_length_a 6.7433
_cell_length_b 7.1478
_cell_length_c 14.3250
_cell_angle_alpha 90.00
_cell_angle_beta 90.00
_cell_angle_gamma 90.00
loop_
_atom_site_label
_atom_site_fract_x
_atom_site_fract_y
_atom_site_fract_z
S1 0.7287 0.1963 0.4535
S2 0.0206 0.8741 0.7831
S3 0.2713 0.3037 0.9535
S4 0.7713 0.1963 0.9535
S5 0.4794 0.3741 0.2169
S6 0.2713 0.8037 0.5465
S7 0.5206 0.1259 0.7169
S8 0.4794 0.8741 0.2831
S9 0.9794 0.6259 0.2831
S10 0.5206 0.6259 0.7831
S11 0.9794 0.1259 0.2169
S12 0.0206 0.3741 0.7169
S13 0.2287 0.8037 0.0465
S14 0.7713 0.6963 0.5465
S15 0.2287 0.3037 0.4535
S16 0.7287 0.6963 0.0465
Zn1 0.1705 0.3497 0.2952
Zn2 0.0000 0.0000 0.0000
Zn3 0.3295 0.8497 0.7048
Zn4 0.8295 0.6503 0.7048
Zn5 0.6705 0.1503 0.2952
Zn6 0.6705 0.6503 0.2048
Zn7 0.1705 0.8497 0.2048
Zn8 0.3295 0.3497 0.7952
Zn9 0.0000 0.5000 0.5000
Zn10 0.5000 0.5000 0.0000
Zn11 0.5000 0.0000 0.5000
Zn12 0.8295 0.1503 0.7952
Na1 0.4702 0.9398 0.8998
Na2 0.9702 0.0602 0.6002
Na3 0.5298 0.0602 0.1002
Na4 0.5298 0.5602 0.3998
Na5 0.4702 0.4398 0.6002
Na6 0.0298 0.9398 0.3998
Na7 0.0298 0.4398 0.1002
Na8 0.9702 0.5602 0.8998

=====

Most stable one: *i*, least stable one: *ii*.

=====

*i*
# NaV2Se4 PBEsol relaxed
# - space-group type = Pm (6)
data_NaV2Se4
_chemical_formula_sum 'Na1 V2 Se4'
_symmetry_space_group_name_H-M 'P 1'
_symmetry_Int_Tables_number 1
_symmetry_space_group_name_Hall 'P 1'
_cell_length_a 3.2678
_cell_length_b 5.9317
_cell_length_c 8.0042
_cell_angle_alpha 112.27
_cell_angle_beta 90.00
_cell_angle_gamma 90.00
loop_
_atom_site_label
_atom_site_fract_x
_atom_site_fract_y
_atom_site_fract_z
Se1 0.5000 0.9144 0.1745
Se2 0.5000 0.0480 0.7637
Se3 0.0000 0.5888 0.8246
Se4 0.0000 0.4549 0.2341
V1 0.0000 0.0500 0.9900
V2 0.5000 0.4508 0.0082
Na1 0.5000 0.3281 0.5096

=====

*ii*
# NaV2Se4 PBEsol relaxed
# - space-group type = R3m (160)
data_NaV2Se4
_chemical_formula_sum 'Na1 V2 Se4'
_symmetry_space_group_name_H-M 'P 1'
_symmetry_Int_Tables_number 1
_symmetry_space_group_name_Hall 'P 1'
_cell_length_a 3.5313
_cell_length_b 3.5313
_cell_length_c 13.7329
_cell_angle_alpha 82.61
_cell_angle_beta 82.61
_cell_angle_gamma 60.00
loop_
_atom_site_label
_atom_site_fract_x
_atom_site_fract_y
_atom_site_fract_z
Se1 0.8022 0.8022 0.5935
Se2 0.2924 0.2924 0.1228
Se3 0.2074 0.2074 0.3779
Se4 0.6976 0.6976 0.9071
Na1 0.0833 0.0833 0.7501
V1 0.9937 0.9937 0.0189
V2 0.5060 0.5060 0.4820

=====

Most stable one: *i*, least stable one: *ii*.